[1]
Here is a geometry-optimized TlFeTe2Pt structure from the Alexandria database. Energies are from PBE.

Geometry as POSCAR:
```
TlFeTe2Pt
1.0
5.7037 0.0000 0.0000
0.0000 5.0641 0.0000
0.0000 0.0000 5.7037
Tl Te Fe Pt
1 2 1 1
Cartesian
0.0000 0.0000 0.0000
0.0000 0.0000 2.8518
2.8518 0.0000 0.0000
2.8518 2.5321 2.8518
0.0000 2.5321 0.0000
```

Calculated values
- Fermi-level density of states (states/eV/cell) = 11.873
- raw formation energy (eV/atom) = 1.36



[2]
Here is a geometry-optimized K2ZrGaTe5 structure from the Alexandria database. Energies are from PBE.

Geometry as POSCAR:
```
K2ZrGaTe5
1.0
-3.6215 -1.6975 -0.2366
6.3660 -8.4030 -3.2310
1.2469 -4.7104 14.7071
K Zr Ga Te
4 2 2 10
Cartesian
2.6541 -11.7110 9.4702
2.0875 -5.7430 9.2489
1.5214 -3.7953 3.9407
1.7548 -8.5045 0.2319
1.4887 -8.7043 5.7363
1.9540 -4.0339 -0.9681
0.0075 -6.5436 12.9068
4.4060 -9.8616 3.3105
3.0876 -6.2817 -2.1925
1.0850 -8.6625 11.6154
-0.7426 -4.7091 11.2268
3.5632 -8.6772 7.7125
2.8154 -11.4002 4.7718
0.2928 -6.2208 6.2247
3.2488 -7.4417 3.6623
4.7999 -10.3505 0.7894
0.2071 -5.2982 0.9186
0.6292 -1.3447 0.0170
```

Calculated values
- Fermi-level density of states (states/eV/cell) = 8.481
- raw formation energy (eV/atom) = -0.74



Question: Which of these has the highest raw formation energy?
Answer: TlFeTe2Pt



Question: Look up the Fermi-level density of states of the first one.
Answer: 11.873 states/eV/cell



Copy entry 2 word for word.
Here is a geometry-optimized K2ZrGaTe5 structure from the Alexandria database. Energies are from PBE.

Geometry as POSCAR:
```
K2ZrGaTe5
1.0
-3.6215 -1.6975 -0.2366
6.3660 -8.4030 -3.2310
1.2469 -4.7104 14.7071
K Zr Ga Te
4 2 2 10
Cartesian
2.6541 -11.7110 9.4702
2.0875 -5.7430 9.2489
1.5214 -3.7953 3.9407
1.7548 -8.5045 0.2319
1.4887 -8.7043 5.7363
1.9540 -4.0339 -0.9681
0.0075 -6.5436 12.9068
4.4060 -9.8616 3.3105
3.0876 -6.2817 -2.1925
1.0850 -8.6625 11.6154
-0.7426 -4.7091 11.2268
3.5632 -8.6772 7.7125
2.8154 -11.4002 4.7718
0.2928 -6.2208 6.2247
3.2488 -7.4417 3.6623
4.7999 -10.3505 0.7894
0.2071 -5.2982 0.9186
0.6292 -1.3447 0.0170
```

Calculated values
- Fermi-level density of states (states/eV/cell) = 8.481
- raw formation energy (eV/atom) = -0.74